The following is a PBE with a Hubbard U calculation of FePHO2 after structural relaxation, from Alexandria via LeMat-Bulk.

Summary:
Offset from the most stable computed form = 0.0 kJ/mol of atoms

a b c (Å): 4.019 4.019 2.934
angles (deg): 90.00 90.00 90.00
Element x y z (fractional)
Fe 0.000 0.000 0.000
P 0.500 0.500 0.000
H 0.500 0.500 0.500
O 0.000 0.500 0.500
O 0.500 0.000 0.500